1.
DFT (PBE) results for an optimized crystal structure of NiGeS.

* total DFT energy (no corrections): -4.959 eV/atom
* E_form (uncorrected): -0.1170 eV/atom

abc: 3.314 5.091 6.166
angles: 83.52 90.03 89.97
Element x y z (fractional)
Ni  0.396  0.409  0.946
Ni  0.396  0.909  0.446
Ge  0.895  0.595  0.651
Ge  0.896  0.095  0.151
S  0.396  0.759  0.115
S  0.395  0.259  0.615



2.
DFT (PBE) results for an optimized crystal structure of NiGeS2.

* total DFT energy (no corrections): -4.844 eV/atom
* E_form (uncorrected): -0.1804 eV/atom

abc: 5.320 5.320 6.552
angles: 66.05 66.05 90.00
Element x y z (fractional)
Ni  0.500  0.500  0.000
Ni  0.250  0.750  0.500
Ge  0.000  0.000  0.000
Ge  0.750  0.250  0.500
S  0.589  0.125  0.250
S  0.161  0.625  0.250
S  0.375  0.411  0.750
S  0.875  0.839  0.750



3.
DFT (PBE) results for an optimized crystal structure of NiGeS3.

* total DFT energy (no corrections): -4.226 eV/atom
* E_form (uncorrected): 0.3299 eV/atom

abc: 4.454 4.454 4.454
angles: 90.00 90.00 90.00
Element x y z (fractional)
Ni  0.000  0.000  0.000
Ge  0.500  0.500  0.500
S  0.000  0.500  0.000
S  0.000  0.000  0.500
S  0.500  0.000  0.000



4.
DFT (PBE) results for an optimized crystal structure of NiGe2S.

* total DFT energy (no corrections): -4.725 eV/atom
* E_form (uncorrected): 0.0608 eV/atom

abc: 3.625 3.625 7.167
angles: 75.35 75.35 60.00
Element x y z (fractional)
Ni  0.500  0.500  0.500
Ge  0.107  0.107  0.678
Ge  0.893  0.893  0.322
S  0.000  0.000  0.000



5.
DFT (PBE) results for an optimized crystal structure of NiGeS2.

* total DFT energy (no corrections): -4.753 eV/atom
* E_form (uncorrected): -0.0898 eV/atom

abc: 7.847 7.847 7.847
angles: 24.40 24.40 24.40
Element x y z (fractional)
Ni  0.500  0.500  0.500
Ge  0.000  0.000  0.000
S  0.886  0.886  0.886
S  0.114  0.114  0.114



6.
DFT (PBE) results for an optimized crystal structure of NiGe2SbS.

* total DFT energy (no corrections): -4.415 eV/atom
* E_form (uncorrected): 0.2386 eV/atom

abc: 4.983 4.110 4.983
angles: 90.00 90.00 90.00
Element x y z (fractional)
Sb  0.500  0.500  0.500
Ge  0.000  0.000  0.500
Ge  0.500  0.000  0.000
S  0.000  0.500  0.000
Ni  0.000  0.000  0.000



7.
DFT (PBE) results for an optimized crystal structure of TcNiGeS2.

* total DFT energy (no corrections): -5.078 eV/atom
* E_form (uncorrected): 0.7255 eV/atom

abc: 4.493 5.083 4.493
angles: 90.00 90.00 90.00
Each line ends with the local moment (μB).
Element x y z (fractional)
S  0.000  0.000  0.500  0.05
S  0.500  0.000  0.000  0.03
Ni  0.500  0.500  0.500  0.78
Ge  0.000  0.500  0.000  -0.03
Tc  0.000  0.000  0.000  -0.05



8.
DFT (PBE) results for an optimized crystal structure of Tl2NiGeS.

* total DFT energy (no corrections): -3.373 eV/atom
* E_form (uncorrected): 0.4786 eV/atom

abc: 5.507 4.425 5.507
angles: 90.00 90.00 90.00
Each line ends with the local moment (μB).
Element x y z (fractional)
S  0.500  0.500  0.500  0.19
Ni  0.000  0.500  0.000  0.33
Tl  0.000  0.000  0.500  0.00
Tl  0.500  0.000  0.000  -0.01
Ge  0.000  0.000  0.000  0.01



9.
DFT (PBE) results for an optimized crystal structure of YNiGe2S.

* total DFT energy (no corrections): -5.148 eV/atom
* E_form (uncorrected): -0.0268 eV/atom

abc: 5.077 4.044 5.077
angles: 90.00 90.00 90.00
Element x y z (fractional)
Y  0.500  0.500  0.500
Ni  0.000  0.500  0.000
Ge  0.000  0.000  0.500
Ge  0.500  0.000  0.000
S  0.000  0.000  0.000



10.
DFT (PBE) results for an optimized crystal structure of Ni2Ge2Sb.

* total DFT energy (no corrections): -4.963 eV/atom
* E_form (uncorrected): 0.0209 eV/atom
* E above lowest polymorph: 27 meV/atom

abc: 7.253 7.253 3.047
angles: 90.00 90.00 90.00
Element x y z (fractional)
Sb  0.000  0.000  0.000
Sb  0.500  0.500  0.000
Ge  0.148  0.648  0.500
Ge  0.648  0.852  0.500
Ge  0.852  0.352  0.500
Ge  0.352  0.148  0.500
Ni  0.366  0.866  0.000
Ni  0.866  0.634  0.000
Ni  0.634  0.134  0.000
Ni  0.134  0.366  0.000



11.
DFT (PBE) results for an optimized crystal structure of Ni5GeSb.

* total DFT energy (no corrections): -5.564 eV/atom
* E_form (uncorrected): -0.1863 eV/atom

abc: 3.779 3.779 6.471
angles: 90.00 90.00 90.00
Element x y z (fractional)
Ni  0.000  0.500  0.781
Ni  0.000  0.500  0.219
Ni  0.500  0.000  0.781
Ni  0.500  0.000  0.219
Ni  0.500  0.500  0.500
Ge  0.500  0.500  0.000
Sb  0.000  0.000  0.500



12.
DFT (PBE) results for an optimized crystal structure of Ni12Ge3Sb.

* total DFT energy (no corrections): -5.709 eV/atom
* E_form (uncorrected): -0.2494 eV/atom

abc: 3.623 3.623 14.413
angles: 90.00 90.00 90.00
Element x y z (fractional)
Ni  0.500  0.500  0.000
Ni  0.500  0.500  0.255
Ni  0.500  0.500  0.500
Ni  0.500  0.500  0.745
Ni  0.500  0.000  0.133
Ni  0.500  0.000  0.377
Ni  0.500  0.000  0.623
Ni  0.500  0.000  0.867
Ni  0.000  0.500  0.133
Ni  0.000  0.500  0.377
Ni  0.000  0.500  0.623
Ni  0.000  0.500  0.867
Ge  0.000  0.000  0.256
Ge  0.000  0.000  0.500
Ge  0.000  0.000  0.744
Sb  0.000  0.000  0.000